La7Tb2Nd: relaxed, PBE.

Output
Calculated volume, Å³ per atom: 42.7
DFT total energy, eV/atom: -4.27
Offset from the most stable computed form, meV per atom: 262
Formation enthalpy at 0 K, eV/atom: 0.5839
Fermi-level density of states, states/eV per cell: 18.48

Cell: 5.796 9.297 9.297 Å, 121.64 90.00 90.00°
Element x y z (fractional)
1 La 0.000 0.761 0.239
2 La 0.000 0.239 0.761
3 La 0.500 0.067 0.299
4 La 0.500 0.933 0.701
5 La 0.500 0.299 0.067
6 La 0.500 0.701 0.933
7 La 0.500 0.500 0.500
8 Tb 0.500 0.703 0.297
9 Tb 0.500 0.297 0.703
10 Nd 0.000 0.000 0.000